Record 1
VASP calculation (PBE) on a relaxed LuCoB2 crystal.

a b c (Å): 5.6691 5.6691 5.6691
angles (deg): 90.00 90.00 90.00
Element x y z (fractional)
Lu: 0.0000 0.0000 0.0000
Lu: 0.0000 0.5000 0.5000
Lu: 0.5000 0.0000 0.5000
Lu: 0.5000 0.5000 0.0000
Co: 0.2500 0.2500 0.2500
Co: 0.2500 0.7500 0.7500
Co: 0.7500 0.2500 0.7500
Co: 0.7500 0.7500 0.2500
B: 0.0000 0.0000 0.5000
B: 0.0000 0.5000 0.0000
B: 0.2500 0.2500 0.7500
B: 0.2500 0.7500 0.2500
B: 0.5000 0.0000 0.0000
B: 0.5000 0.5000 0.5000
B: 0.7500 0.2500 0.2500
B: 0.7500 0.7500 0.7500

Properties
For the total DFT energy (no corrections), the calculation gives -21.9 eV/f.u.

---

Record 2
VASP calculation (PBE) on a relaxed LuCoB crystal.

a b c (Å): 6.1893 3.4717 7.6220
angles (deg): 90.00 90.00 90.00
Element x y z (fractional)
Lu: 0.0226 0.2500 0.1883
Lu: 0.4774 0.7500 0.6883
Lu: 0.5226 0.2500 0.3117
Lu: 0.9774 0.7500 0.8117
Co: 0.1420 0.2500 0.5385
Co: 0.3580 0.7500 0.0385
Co: 0.6420 0.2500 0.9615
Co: 0.8580 0.7500 0.4615
B: 0.1931 0.7500 0.4238
B: 0.3069 0.2500 0.9238
B: 0.6931 0.7500 0.0762
B: 0.8069 0.2500 0.5762

Properties
As for the excess energy over the best structure of this formula in the dataset: 0.0 meV per atom.

---

Record 3
VASP calculation (PBE) on a relaxed LuCo3B2 crystal.

a b c (Å): 4.9371 4.9371 3.0203
angles (deg): 90.00 90.00 120.00
Element x y z (fractional)
Lu: 0.0000 0.0000 0.0000
Co: 0.0000 0.5000 0.5000
Co: 0.5000 0.0000 0.5000
Co: 0.5000 0.5000 0.5000
B: 0.3333 0.6667 0.0000
B: 0.6667 0.3333 0.0000

Properties
For the total DFT energy (no corrections), the calculation gives -42.4 eV/f.u.

---

Record 4
VASP calculation (PBE) on a relaxed Lu4CoB13 crystal.

a b c (Å): 7.2047 7.2047 6.7461
angles (deg): 90.00 90.00 90.00
Element x y z (fractional)
Lu: 0.1812 0.3158 0.0000
Lu: 0.1842 0.3188 0.5000
Lu: 0.3158 0.8188 0.0000
Lu: 0.3188 0.8158 0.5000
Lu: 0.6812 0.1842 0.5000
Lu: 0.6842 0.1812 0.0000
Lu: 0.8158 0.6812 0.5000
Lu: 0.8188 0.6842 0.0000
Co: 0.0000 0.0000 0.5000
Co: 0.5000 0.5000 0.0000
B: 0.0000 0.0000 0.0000
B: 0.0391 0.8290 0.2449
B: 0.0391 0.8290 0.7551
B: 0.0895 0.5895 0.2500
B: 0.0895 0.5895 0.7500
B: 0.1710 0.0391 0.2449
B: 0.1710 0.0391 0.7551
B: 0.3290 0.5391 0.2551
B: 0.3290 0.5391 0.7449
B: 0.4105 0.0895 0.2500
B: 0.4105 0.0895 0.7500
B: 0.4609 0.3290 0.2551
B: 0.4609 0.3290 0.7449
B: 0.5000 0.5000 0.5000
B: 0.5391 0.6710 0.2551
B: 0.5391 0.6710 0.7449
B: 0.5895 0.9105 0.2500
B: 0.5895 0.9105 0.7500
B: 0.6710 0.4609 0.2551
B: 0.6710 0.4609 0.7449
B: 0.8290 0.9609 0.2449
B: 0.8290 0.9609 0.7551
B: 0.9105 0.4105 0.2500
B: 0.9105 0.4105 0.7500
B: 0.9609 0.1710 0.2449
B: 0.9609 0.1710 0.7551

Properties
For the total DFT energy (no corrections), the calculation gives -121.5 eV/f.u.

---

Record 5
VASP calculation (PBE) on a relaxed LuCo4B4 crystal.

a b c (Å): 4.9755 4.9755 6.9200
angles (deg): 90.00 90.00 90.00
Element x y z (fractional)
Lu: 0.2500 0.7500 0.2500
Lu: 0.7500 0.2500 0.7500
Co: 0.0035 0.7500 0.6121
Co: 0.2500 0.5035 0.8879
Co: 0.2500 0.9965 0.8879
Co: 0.4965 0.7500 0.6121
Co: 0.5035 0.2500 0.3879
Co: 0.7500 0.0035 0.1121
Co: 0.7500 0.4965 0.1121
Co: 0.9965 0.2500 0.3879
B: 0.0745 0.2500 0.0921
B: 0.2500 0.0745 0.5921
B: 0.2500 0.4255 0.5921
B: 0.4255 0.2500 0.0921
B: 0.5745 0.7500 0.9079
B: 0.7500 0.5745 0.4079
B: 0.7500 0.9255 0.4079
B: 0.9255 0.7500 0.9079

Properties
For the total DFT energy (no corrections), the calculation gives -64.4 eV/f.u.

---

Record 6
VASP calculation (PBE) on a relaxed LuCoB crystal.

a b c (Å): 5.5871 5.5871 5.5871
angles (deg): 90.00 90.00 90.00
Element x y z (fractional)
Lu: 0.0000 0.0000 0.0000
Lu: 0.0000 0.5000 0.5000
Lu: 0.5000 0.0000 0.5000
Lu: 0.5000 0.5000 0.0000
Co: 0.0000 0.0000 0.5000
Co: 0.0000 0.5000 0.0000
Co: 0.5000 0.0000 0.0000
Co: 0.5000 0.5000 0.5000
B: 0.2500 0.2500 0.7500
B: 0.2500 0.7500 0.2500
B: 0.7500 0.2500 0.2500
B: 0.7500 0.7500 0.7500

Properties
As for the excess energy over the best structure of this formula in the dataset: 507.2 meV per atom.

---

Record 7
VASP calculation (PBE) on a relaxed Lu4CoB3 crystal.

a b c (Å): 3.4390 3.4390 27.6245
angles (deg): 90.00 90.00 120.00
Element x y z (fractional)
Lu: 0.0000 0.0000 0.1812
Lu: 0.0000 0.0000 0.3188
Lu: 0.0000 0.0000 0.6812
Lu: 0.0000 0.0000 0.8188
Lu: 0.3333 0.6667 0.0605
Lu: 0.3333 0.6667 0.4395
Lu: 0.6667 0.3333 0.5605
Lu: 0.6667 0.3333 0.9395
Co: 0.3333 0.6667 0.2500
Co: 0.6667 0.3333 0.7500
B: 0.0000 0.0000 0.0000
B: 0.0000 0.0000 0.5000
B: 0.3333 0.6667 0.6228
B: 0.3333 0.6667 0.8772
B: 0.6667 0.3333 0.1228
B: 0.6667 0.3333 0.3772

Properties
For the total DFT energy (no corrections), the calculation gives -43.7 eV/f.u.

---

Record 8
VASP calculation (PBE) on a relaxed Lu2CoB6 crystal.

a b c (Å): 8.9728 11.3104 3.4836
angles (deg): 90.00 90.00 90.00
Element x y z (fractional)
Lu: 0.0563 0.1290 0.0000
Lu: 0.1762 0.4146 0.0000
Lu: 0.3238 0.9146 0.0000
Lu: 0.4437 0.6290 0.0000
Lu: 0.5563 0.3710 0.0000
Lu: 0.6762 0.0854 0.0000
Lu: 0.8238 0.5854 0.0000
Lu: 0.9437 0.8710 0.0000
Co: 0.1399 0.6798 0.0000
Co: 0.3601 0.1798 0.0000
Co: 0.6399 0.8202 0.0000
Co: 0.8601 0.3202 0.0000
B: 0.0148 0.2885 0.5000
B: 0.0535 0.5664 0.5000
B: 0.1071 0.9711 0.5000
B: 0.1338 0.8160 0.5000
B: 0.2070 0.2360 0.5000
B: 0.2476 0.5814 0.5000
B: 0.2524 0.0814 0.5000
B: 0.2930 0.7360 0.5000
B: 0.3662 0.3160 0.5000
B: 0.3929 0.4711 0.5000
B: 0.4465 0.0664 0.5000
B: 0.4852 0.7885 0.5000
B: 0.5148 0.2115 0.5000
B: 0.5535 0.9336 0.5000
B: 0.6071 0.5289 0.5000
B: 0.6338 0.6840 0.5000
B: 0.7070 0.2640 0.5000
B: 0.7476 0.9186 0.5000
B: 0.7524 0.4186 0.5000
B: 0.7930 0.7640 0.5000
B: 0.8662 0.1840 0.5000
B: 0.8929 0.0289 0.5000
B: 0.9465 0.4336 0.5000
B: 0.9852 0.7115 0.5000

Properties
For the total DFT energy (no corrections), the calculation gives -62.1 eV/f.u.

---

Record 9
VASP calculation (PBE) on a relaxed Lu3CoB2 crystal.

a b c (Å): 3.4305 3.4305 20.8809
angles (deg): 90.00 90.00 120.00
Element x y z (fractional)
Lu: 0.0000 0.0000 0.0000
Lu: 0.0000 0.0000 0.5000
Lu: 0.3333 0.6667 0.1582
Lu: 0.3333 0.6667 0.3418
Lu: 0.6667 0.3333 0.6582
Lu: 0.6667 0.3333 0.8418
Co: 0.0000 0.0000 0.2500
Co: 0.0000 0.0000 0.7500
B: 0.3333 0.6667 0.5813
B: 0.3333 0.6667 0.9187
B: 0.6667 0.3333 0.0813
B: 0.6667 0.3333 0.4187

Properties
For the total DFT energy (no corrections), the calculation gives -32.9 eV/f.u.

---

Record 10
VASP calculation (PBE) on a relaxed LuMgCoB crystal.

a b c (Å): 6.0669 6.0669 6.0669
angles (deg): 90.00 90.00 90.00
Element x y z (fractional)
Lu: 0.0000 0.0000 0.0000
Lu: 0.0000 0.5000 0.5000
Lu: 0.5000 0.0000 0.5000
Lu: 0.5000 0.5000 0.0000
Mg: 0.2500 0.2500 0.7500
Mg: 0.2500 0.7500 0.2500
Mg: 0.7500 0.2500 0.2500
Mg: 0.7500 0.7500 0.7500
Co: 0.0000 0.0000 0.5000
Co: 0.0000 0.5000 0.0000
Co: 0.5000 0.0000 0.0000
Co: 0.5000 0.5000 0.5000
B: 0.2500 0.2500 0.2500
B: 0.2500 0.7500 0.7500
B: 0.7500 0.2500 0.7500
B: 0.7500 0.7500 0.2500

Properties
As for the excess energy over the best structure of this formula in the dataset: 0.0 meV per atom.

---

Copy entry 10 word for word.
VASP calculation (PBE) on a relaxed LuMgCoB crystal.

a b c (Å): 6.0669 6.0669 6.0669
angles (deg): 90.00 90.00 90.00
Element x y z (fractional)
Lu: 0.0000 0.0000 0.0000
Lu: 0.0000 0.5000 0.5000
Lu: 0.5000 0.0000 0.5000
Lu: 0.5000 0.5000 0.0000
Mg: 0.2500 0.2500 0.7500
Mg: 0.2500 0.7500 0.2500
Mg: 0.7500 0.2500 0.2500
Mg: 0.7500 0.7500 0.7500
Co: 0.0000 0.0000 0.5000
Co: 0.0000 0.5000 0.0000
Co: 0.5000 0.0000 0.0000
Co: 0.5000 0.5000 0.5000
B: 0.2500 0.2500 0.2500
B: 0.2500 0.7500 0.7500
B: 0.7500 0.2500 0.7500
B: 0.7500 0.7500 0.2500

Properties
As for the excess energy over the best structure of this formula in the dataset: 0.0 meV per atom.